# 1
VASP calculation (GGA-PBE) on a geometry-optimized Er6Ni2Au structure.

Cell and atoms, written as POSCAR:
```
Er6Ni2Au
1.0
-1.883 2.340 7.647
-0.605 -8.144 -0.901
7.775 2.017 -1.726
Er Ni Au
12 4 2
Direct
0.538 0.719 0.820
0.462 0.281 0.180
0.101 0.281 0.820
0.899 0.719 0.180
0.808 0.759 0.567
0.192 0.241 0.433
0.192 0.759 0.951
0.808 0.241 0.049
0.692 0.365 0.673
0.308 0.635 0.327
0.308 0.980 0.673
0.692 0.020 0.327
0.500 0.379 0.879
0.500 0.621 0.121
0.652 0.000 0.652
0.348 0.000 0.348
0.000 0.500 0.500
0.000 0.000 0.000
```

Energy of formation in eV per atom: -0.43
Space-group type: Immm (71)

=====

# 2
VASP calculation (GGA-PBE) on a geometry-optimized MgSb2TeIr structure.

Cell and atoms, written as POSCAR:
```
MgSb2TeIr
1.0
5.064 0.000 0.000
0.000 5.064 0.000
0.000 0.000 5.822
Sb Mg Ir Te
2 1 1 1
Direct
0.000 0.500 0.000
0.500 0.000 0.000
0.500 0.500 0.500
0.000 0.000 0.000
0.000 0.000 0.500
```

ΔE_f (raw) in meV per atom: 351
Space-group type: P4/mmm (123)

=====

# 3
VASP calculation (GGA-PBE) on a geometry-optimized BaSrRh2 structure.

Cell and atoms, written as POSCAR:
```
BaSrRh2
1.0
0.000 3.694 3.694
3.694 0.000 3.694
3.694 3.694 0.000
Sr Rh Ba
1 2 1
Direct
0.000 0.000 0.000
0.250 0.250 0.250
0.750 0.750 0.750
0.500 0.500 0.500
```

Energy of formation in eV per atom: 0.06
Space-group type: Fm-3m (225)

=====

# 4
VASP calculation (GGA-PBE) on a geometry-optimized Rb2UTiO6 structure.

Cell and atoms, written as POSCAR:
```
Rb2UTiO6
1.0
5.936 0.000 0.000
0.000 5.949 0.000
0.000 0.000 8.249
Rb U Ti O
4 2 2 12
Direct
0.500 0.756 0.251
0.000 0.244 0.751
0.500 0.756 0.749
0.000 0.244 0.249
0.500 0.246 0.500
0.000 0.754 0.000
0.000 0.721 0.500
0.500 0.279 0.000
0.500 0.249 0.241
0.500 0.249 0.759
0.000 0.751 0.259
0.000 0.751 0.741
0.255 0.009 0.500
0.745 0.009 0.500
0.239 0.512 0.500
0.761 0.512 0.500
0.739 0.488 0.000
0.261 0.488 0.000
0.245 0.991 0.000
0.755 0.991 0.000
```

ΔE_f (raw) in meV per atom: -2682
Space-group type: Pmmn (59)